one) This record from Alexandria describes a relaxed structure of Nd2DyGe2. The functional is PBE.

POSCAR file:
```
Nd2DyGe2
1.0
7.723 0.000 0.000
0.000 7.723 0.000
0.000 0.000 4.412
Nd Dy Ge
4 2 4
Direct
0.175 0.325 0.000
0.325 0.825 0.000
0.675 0.175 0.000
0.825 0.675 0.000
0.000 0.000 0.500
0.500 0.500 0.500
0.122 0.622 0.500
0.378 0.122 0.500
0.622 0.878 0.500
0.878 0.378 0.500
```



two) This record from Alexandria describes a relaxed structure of Nd2DyGe2. The functional is PBE.

POSCAR file:
```
Nd2DyGe2
1.0
6.258 -2.221 0.000
6.258 2.221 0.000
-4.846 0.000 9.676
Nd Dy Ge
4 2 4
Direct
0.016 0.016 0.187
0.179 0.179 0.589
0.821 0.821 0.411
0.984 0.984 0.813
0.278 0.278 0.137
0.722 0.722 0.863
0.383 0.383 0.939
0.481 0.481 0.609
0.519 0.519 0.391
0.617 0.617 0.061
```



Most stable = one)



one) This record from Alexandria describes a relaxed structure of NdDyGePt. The functional is PBE.

POSCAR file:
```
NdDyGePt
1.0
0.000 3.602 3.602
3.602 0.000 3.602
3.602 3.602 0.000
Nd Dy Ge Pt
1 1 1 1
Direct
0.000 0.000 0.000
0.500 0.500 0.500
0.750 0.750 0.750
0.250 0.250 0.250
```



two) This record from Alexandria describes a relaxed structure of NdDyGePt. The functional is PBE.

POSCAR file:
```
NdDyGePt
1.0
4.285 0.000 0.000
0.000 2.013 5.554
0.000 -2.013 5.554
Nd Dy Ge Pt
1 1 1 1
Direct
0.000 0.000 0.000
0.500 0.723 0.723
0.500 0.434 0.434
0.000 0.272 0.272
```



Most stable = two)